Compound: W2C
Source: Alexandria
Functional: PBE
Structure: relaxed

Values from the calculation:
Fermi-level density of states: 2.6 states/eV per cell
calculated total energy: -11.186 eV per atom
formation energy: 0.52 eV/atom

a b c (Å): 5.5646 5.5646 4.9034
angles (deg): 90.00 90.00 148.52
Closest atoms and distances in Å follow each position.
Element x y z (fractional)
W 0.7908 0.2092 0.2500  2 C 2.11
W 0.0633 0.9367 0.2500  2 C 2.09
W 0.2092 0.7908 0.7500  2 C 2.11
W 0.9367 0.0633 0.7500  2 C 2.09
C 0.5719 0.4281 0.7500  4 W 2.09-2.11
C 0.4281 0.5719 0.2500  4 W 2.09-2.11